# 1
VASP calculation (PBE) on crystalline TlNi2Te at its relaxed geometry.

abc: 3.3682 3.3674 7.0326
angles: 90.00 90.00 90.00
With the nearest neighbours (Å) after each atom.
Element x y z (fractional)
Ni 0.0000 0.0000 0.0398  1 Te 2.45, 4 Ni 2.74
Ni 0.5000 0.5000 0.2325  4 Te 2.62, 4 Ni 2.74, 1 Tl 2.77
Te 0.0000 0.0000 0.3886  5 Ni 2.45-2.62
Tl 0.5000 0.5000 0.8392  5 Ni 2.77

Output
- E_form (uncorrected) (meV per atom) = 120
- theoretical density (g cm⁻³) = 9.36
- symmetry = P4mm
- uncorrected energy (eV per atom) = -4.148

=====

# 2
VASP calculation (PBE) on crystalline Tl3NiTe at its relaxed geometry.

abc: 6.4078 6.4078 6.4078
angles: 90.00 90.00 90.00
With the nearest neighbours (Å) after each atom.
Element x y z (fractional)
Ni 0.5000 0.5000 0.5000  12 Tl 4.53
Tl 0.0000 0.5000 0.0000  2 Te 3.20
Tl 0.0000 0.0000 0.5000  2 Te 3.20
Tl 0.5000 0.0000 0.0000  2 Te 3.20
Te 0.0000 0.0000 0.0000  6 Tl 3.20

Output
- E_form (uncorrected) (meV per atom) = 899
- theoretical density (g cm⁻³) = 5.05
- symmetry = Pm-3m
- uncorrected energy (eV per atom) = -2.305

=====

# 3
VASP calculation (PBE) on crystalline Tl3NiTe at its relaxed geometry.

abc: 5.2041 5.2041 5.2041
angles: 90.00 90.00 90.00
With the nearest neighbours (Å) after each atom.
Element x y z (fractional)
Ni 0.0000 0.0000 0.0000  6 Tl 2.60
Tl 0.0000 0.5000 0.0000  2 Ni 2.60
Tl 0.0000 0.0000 0.5000  2 Ni 2.60
Tl 0.5000 0.0000 0.0000  2 Ni 2.60
Te 0.5000 0.5000 0.5000  12 Tl 3.68

Output
- E_form (uncorrected) (meV per atom) = -42
- theoretical density (g cm⁻³) = 9.42
- symmetry = Pm-3m
- uncorrected energy (eV per atom) = -3.246

=====

# 4
VASP calculation (PBE) on crystalline TlNi2Te at its relaxed geometry.

abc: 5.7937 5.7937 5.7937
angles: 141.92 141.92 54.94
With the nearest neighbours (Å) after each atom.
Element x y z (fractional)
Ni 0.0000 0.0000 0.0000  4 Te 2.67
Ni 0.2500 0.7500 0.5000  4 Tl 2.67
Te 0.5000 0.5000 0.0000  4 Ni 2.67
Tl 0.7500 0.2500 0.5000  4 Ni 2.67

Output
- E_form (uncorrected) (meV per atom) = 336
- theoretical density (g cm⁻³) = 10.16
- symmetry = I-4m2
- uncorrected energy (eV per atom) = -3.932

=====

# 5
VASP calculation (PBE) on crystalline TlNi2Te at its relaxed geometry.

abc: 6.4212 6.4212 6.4212
angles: 151.65 143.43 46.90
With the nearest neighbours (Å) after each atom.
Element x y z (fractional)
Ni 0.9464 0.9464 0.0000  2 Tl 2.76, 4 Te 2.80, 2 Ni 3.05
Ni 0.7242 0.2242 0.5000  2 Te 2.65, 4 Tl 2.66
Te 0.5426 0.5426 0.0000  6 Ni 2.65-2.80
Tl 0.2867 0.7867 0.5000  6 Ni 2.66-2.76

Output
- E_form (uncorrected) (meV per atom) = 214
- theoretical density (g cm⁻³) = 10.00
- symmetry = Imm2
- uncorrected energy (eV per atom) = -4.054

=====

# 6
VASP calculation (PBE) on crystalline TlNi4Te at its relaxed geometry.

abc: 5.0329 5.0329 5.0329
angles: 60.00 60.00 60.00
With the nearest neighbours (Å) after each atom.
Element x y z (fractional)
Tl 0.0000 0.0000 0.0000  12 Ni 2.95, 4 Te 3.08
Ni 0.8744 0.3752 0.3752  6 Ni 2.51-2.52
Ni 0.3752 0.3752 0.8744  6 Ni 2.51-2.52
Ni 0.3752 0.8744 0.3752  6 Ni 2.51-2.52
Ni 0.3752 0.3752 0.3752  6 Ni 2.51-2.52
Te 0.7500 0.7500 0.7500  12 Ni 2.95, 4 Tl 3.08

Output
- E_form (uncorrected) (meV per atom) = 273
- theoretical density (g cm⁻³) = 10.44
- symmetry = F-43m
- uncorrected energy (eV per atom) = -4.500

=====

# 7
VASP calculation (PBE) on crystalline TlNi2Te at its relaxed geometry.

abc: 3.9118 3.5292 5.6545
angles: 71.61 90.00 90.00
With the nearest neighbours (Å) after each atom.
Element x y z (fractional)
Ni 0.0000 0.1822 0.0069  2 Ni 2.50, 2 Te 2.62-2.64
Ni 0.5000 0.0419 0.2976  2 Ni 2.50, 4 Te 2.66-2.67
Te 0.0000 0.5025 0.3701  6 Ni 2.62-2.67
Tl 0.5000 0.7734 0.8254  7 Ni 2.81-3.10

Output
- E_form (uncorrected) (meV per atom) = 88
- theoretical density (g cm⁻³) = 10.07
- symmetry = Pm
- uncorrected energy (eV per atom) = -4.180

=====

# 8
VASP calculation (PBE) on crystalline TlNi2Te at its relaxed geometry.

abc: 6.6726 6.6726 6.6726
angles: 35.08 35.08 35.08
With the nearest neighbours (Å) after each atom.
Element x y z (fractional)
Ni 0.9635 0.9635 0.9635  3 Ni 2.40
Ni 0.2649 0.2649 0.2649  3 Ni 2.40, 3 Te 2.51
Te 0.5475 0.5475 0.5475  6 Ni 2.51-2.79
Tl 0.7241 0.7241 0.7241  3 Ni 2.92

Output
- E_form (uncorrected) (meV per atom) = 67
- theoretical density (g cm⁻³) = 8.52
- symmetry = R3m
- uncorrected energy (eV per atom) = -4.200